DFT (GGA+U) results for a relaxed Ca2CeNiO6 crystal.

Structure (POSCAR):
```
Ca2CeNiO6
1.0
0.4589 -5.5388 1.1548
-4.6659 -3.2013 0.4510
-1.2032 -3.8427 -4.0010
Ca Ce Ni O
2 1 1 6
direct
0.2500 0.2500 0.2500
0.7500 0.7500 0.7500
0.0000 0.0000 0.0000
0.5000 0.5000 0.5000
0.2689 0.7311 0.2689
0.7311 0.2689 0.7311
0.7311 0.7311 0.2689
0.2689 0.2689 0.7311
0.2689 0.7311 0.7311
0.7311 0.2689 0.2689
```

Values from the calculation:
Final energy = -6.43 eV per atom
Space group = Fm-3m (225)